1) {"formula": "ReRu2Se", "functional": "SCAN", "state": "PBEsol geometry", "lattice_angstrom": [[4.3158, 0.0000, 0.0000], [2.1579, 3.7376, 0.0000], [2.1579, 1.2459, 3.5238]], "species": ["Ru", "Ru", "Re", "Se"], "fractional_positions": [[0.0000, 0.0000, 0.0000], [0.7500, 0.7500, 0.7500], [0.5000, 0.5000, 0.5000], [0.2500, 0.2500, 0.2500]], "sg": "F-43m", "m_tot_mub_per_fu": 0.00}

---

2) {"formula": "ReRu2Se", "functional": "SCAN", "state": "PBEsol geometry", "lattice_angstrom": [[2.8059, 0.0000, 0.0000], [1.4030, 2.4300, 0.0000], [1.4030, 0.8100, 8.3316]], "species": ["Ru", "Ru", "Se", "Re"], "fractional_positions": [[0.2481, 0.2481, 0.2556], [0.7519, 0.7519, 0.7444], [0.5000, 0.5000, 0.5000], [0.0000, 0.0000, 0.0000]], "sg": "R-3m", "m_tot_mub_per_fu": 0.00}

---

3) {"formula": "ReRu2Se", "functional": "SCAN", "state": "PBEsol geometry", "lattice_angstrom": [[2.9046, 0.0000, 0.0000], [0.0000, 4.3817, 0.0000], [-1.4523, -2.1908, 4.3859]], "species": ["Ru", "Ru", "Re", "Se"], "fractional_positions": [[0.7277, 0.7277, 0.4555], [0.2723, 0.2723, 0.5445], [0.5000, 0.0000, 0.0000], [0.0000, 0.5000, 0.0000]], "sg": "Immm", "m_tot_mub_per_fu": 0.00}

---

4) {"formula": "ReRu2Se", "functional": "SCAN", "state": "PBEsol geometry", "lattice_angstrom": [[-1.7934, -1.7626, -1.2919], [-1.6182, -0.7919, 3.3270], [-3.5260, 4.1250, -0.7331]], "species": ["Ru", "Ru", "Se", "Re"], "fractional_positions": [[0.0000, 0.0000, 0.9821], [0.5000, 0.5000, 0.2775], [0.0000, 0.0000, 0.4501], [0.5000, 0.5000, 0.7903]], "sg": "Pmm2", "m_tot_mub_per_fu": 0.00}

---

We find 2) to be the most stable, with the next structure 16.4 kJ/mol of atoms higher.

---

1) {"formula": "SrReRu", "functional": "SCAN", "state": "PBEsol geometry", "lattice_angstrom": [[4.4593, 0.0000, 0.0000], [2.2297, 3.8619, 0.0000], [2.2297, 1.2873, 3.6410]], "species": ["Sr", "Ru", "Re"], "fractional_positions": [[0.0000, 0.0000, 0.0000], [0.7500, 0.7500, 0.7500], [0.5000, 0.5000, 0.5000]], "sg": "F-43m", "m_tot_mub_per_fu": 0.00}

---

2) {"formula": "SrReRu", "functional": "SCAN", "state": "PBEsol geometry", "lattice_angstrom": [[4.4965, 0.0000, 0.0000], [2.2483, 3.8941, 0.0000], [2.2483, 1.2980, 3.6714]], "species": ["Re", "Sr", "Ru"], "fractional_positions": [[0.0000, 0.0000, 0.0000], [0.7500, 0.7500, 0.7500], [0.5000, 0.5000, 0.5000]], "sg": "F-43m", "m_tot_mub_per_fu": 2.90}

---

We find 1) to be the most stable, with the next structure 143.6 kJ/mol of atoms higher.

---

1) {"formula": "Re2TcRu", "functional": "SCAN", "state": "PBEsol geometry", "lattice_angstrom": [[2.8577, 0.0000, 0.0000], [0.0000, 4.4746, 0.0000], [0.0000, 0.0000, 4.4865]], "species": ["Ru", "Re", "Re", "Tc"], "fractional_positions": [[0.5000, 0.5000, 0.0000], [0.0000, 0.0000, 0.0000], [0.5000, 0.0000, 0.5000], [0.0000, 0.5000, 0.5000]], "sg": "Pmmm", "m_tot_mub_per_fu": 0.00}

---

2) {"formula": "Re2TcRu", "functional": "SCAN", "state": "PBEsol geometry", "lattice_angstrom": [[3.8376, 0.0000, 0.0000], [0.0000, 3.8376, 0.0000], [-1.9188, -1.9188, 3.8424]], "species": ["Ru", "Re", "Re", "Tc"], "fractional_positions": [[0.5000, 0.5000, 0.0000], [0.0000, 0.0000, 0.0000], [0.7500, 0.2500, 0.5000], [0.2500, 0.7500, 0.5000]], "sg": "I-4m2", "m_tot_mub_per_fu": 0.00}

---

3) {"formula": "Re2TcRu", "functional": "SCAN", "state": "PBEsol geometry", "lattice_angstrom": [[2.7147, 0.0000, 0.0000], [-1.3573, 4.4899, -0.0044], [0.0000, -0.8086, 4.6453]], "species": ["Tc", "Re", "Re", "Ru"], "fractional_positions": [[0.7518, 0.5036, 0.2519], [0.9999, 0.9998, 0.0036], [0.2482, 0.4963, 0.7442], [0.5001, 0.0003, 0.5003]], "sg": "Cm", "m_tot_mub_per_fu": 0.00}

---

4) {"formula": "Re2TcRu", "functional": "SCAN", "state": "PBEsol geometry", "lattice_angstrom": [[-1.1169, -2.4460, -0.3067], [2.5149, -1.6053, 3.6443], [-4.1176, 1.6865, 1.5440]], "species": ["Re", "Re", "Tc", "Ru"], "fractional_positions": [[0.0000, 0.5000, 0.0000], [0.0000, 0.0000, 0.5000], [0.5000, 0.5000, 0.5000], [0.5000, 0.0000, 0.0000]], "sg": "Cmmm", "m_tot_mub_per_fu": 0.00}

---

We find 2) to be the most stable, with the next structure 0.5 kJ/mol of atoms higher.

---

1) {"formula": "Re2TcRu", "functional": "SCAN", "state": "PBEsol geometry", "lattice_angstrom": [[3.8339, 0.0000, 0.0000], [0.0000, 3.8411, 0.0000], [0.0000, 0.0000, 3.8411]], "species": ["Tc", "Ru", "Re", "Re"], "fractional_positions": [[0.5000, 0.0000, 0.0000], [0.5000, 0.5000, 0.5000], [0.0000, 0.0000, 0.5000], [0.0000, 0.5000, 0.0000]], "sg": "P4/mmm", "m_tot_mub_per_fu": 0.00}

---

2) {"formula": "Re2TcRu", "functional": "SCAN", "state": "PBEsol geometry", "lattice_angstrom": [[2.7151, 0.0000, 0.0000], [-1.3575, 4.4957, -0.0024], [0.0000, -0.8132, 4.6416]], "species": ["Tc", "Ru", "Re", "Re"], "fractional_positions": [[0.5000, 0.0000, 0.0000], [0.0000, 0.0000, 0.5000], [0.7481, 0.4961, 0.7479], [0.2519, 0.5039, 0.2521]], "sg": "C2/m", "m_tot_mub_per_fu": 0.00}

---

3) {"formula": "Re2TcRu", "functional": "SCAN", "state": "PBEsol geometry", "lattice_angstrom": [[-0.3096, 0.2440, 2.6816], [0.3578, -4.1930, 0.4228], [5.1192, 0.3592, -0.7698]], "species": ["Re", "Re", "Tc", "Ru"], "fractional_positions": [[0.8134, 0.0000, 0.9907], [0.9364, 0.5000, 0.2638], [0.2087, 0.5000, 0.7778], [0.5415, 0.0000, 0.4677]], "sg": "Pm", "m_tot_mub_per_fu": 0.00}

---

We find 1) to be the most stable, with the next structure 1.4 kJ/mol of atoms higher.

---

1) {"formula": "ReTc2Ru", "functional": "SCAN", "state": "PBEsol geometry", "lattice_angstrom": [[-2.1515, 1.2477, 2.9059], [1.1463, -2.9679, 2.1231], [3.4494, 2.9248, -1.2192]], "species": ["Tc", "Tc", "Re", "Ru"], "fractional_positions": [[0.0000, 0.0000, 0.0000], [0.2500, 0.7500, 0.5000], [0.5000, 0.5000, 0.0000], [0.7500, 0.2500, 0.5000]], "sg": "I-4m2", "m_tot_mub_per_fu": 0.00}

---

2) {"formula": "ReTc2Ru", "functional": "SCAN", "state": "PBEsol geometry", "lattice_angstrom": [[2.6980, 0.0000, 0.0000], [0.0000, 4.6940, -0.0074], [0.0000, -1.5744, 4.4221]], "species": ["Tc", "Tc", "Re", "Ru"], "fractional_positions": [[0.0000, 0.0000, 0.5000], [0.0000, 0.5000, 0.0000], [0.5000, 0.0000, 0.0000], [0.5000, 0.5000, 0.5000]], "sg": "Cmmm", "m_tot_mub_per_fu": 0.00}

---

We find 1) to be the most stable, with the next structure 0.7 kJ/mol of atoms higher.

---

1) {"formula": "ReTc2Ru", "functional": "SCAN", "state": "PBEsol geometry", "lattice_angstrom": [[3.1691, 0.0000, 0.0000], [0.0000, 3.1691, 0.0000], [0.0000, 0.0000, 5.6417]], "species": ["Re", "Tc", "Tc", "Ru"], "fractional_positions": [[0.5000, 0.5000, 0.0000], [0.0000, 0.0000, 0.2557], [0.0000, 0.0000, 0.7443], [0.5000, 0.5000, 0.5000]], "sg": "P4/mmm", "m_tot_mub_per_fu": 0.00}

---

2) {"formula": "ReTc2Ru", "functional": "SCAN", "state": "PBEsol geometry", "lattice_angstrom": [[3.8216, 0.0000, 0.0000], [0.0000, 3.8216, 0.0000], [0.0000, 0.0000, 3.8291]], "species": ["Ru", "Re", "Tc", "Tc"], "fractional_positions": [[0.0000, 0.0000, 0.5000], [0.5000, 0.5000, 0.5000], [0.5000, 0.0000, 0.0000], [0.0000, 0.5000, 0.0000]], "sg": "P4/mmm", "m_tot_mub_per_fu": 0.00}

---

We find 2) to be the most stable, with the next structure 25.7 kJ/mol of atoms higher.